1.
Pr2NiAs after structural relaxation. Source: Alexandria via LeMat-Bulk, functional PBE.

Properties
ΔE_f	-0.101	eV/atom
uncorrected energy	-5.099	eV/atom
spin magnetization	0.0	Bohr magnetons per cell

a = 4.0471 Å, b = 4.0471 Å, c = 9.0724 Å
α = 77.11°, β = 77.11°, γ = 60.00°
Last column: nearest neighbours and their distance in Å.
Atoms (fractional coordinates):
Pr: 0.0995 0.0995 0.7014  1 Ni 2.62, 3 As 2.93
Pr: 0.9005 0.9005 0.2986  1 Ni 2.62, 3 As 2.93
Ni: 0.0000 0.0000 0.0000  2 Pr 2.62
As: 0.5000 0.5000 0.5000  6 Pr 2.93



2.
CsMgSn after structural relaxation. Source: Alexandria via LeMat-Bulk, functional PBE.

Properties
ΔE_f	-0.011	eV/atom
uncorrected energy	-2.161	eV/atom
spin magnetization	0.0	Bohr magnetons per cell

a = 4.1071 Å, b = 4.1071 Å, c = 7.6106 Å
α = 105.65°, β = 105.65°, γ = 90.00°
Last column: nearest neighbours and their distance in Å.
Atoms (fractional coordinates):
Cs: 0.0068 0.0068 0.0136  1 Mg 3.74, 5 Sn 4.03-4.18, 4 Cs 4.11
Mg: 0.2725 0.2725 0.5451  4 Sn 2.99
Sn: 0.7207 0.7207 0.4413  4 Mg 2.99



3.
TiBe5Rh6 after structural relaxation. Source: Alexandria via LeMat-Bulk, functional PBE.

Properties
ΔE_f	-0.692	eV/atom
uncorrected energy	-6.578	eV/atom
spin magnetization	0.0	Bohr magnetons per cell

a = 4.0327 Å, b = 5.7260 Å, c = 6.3230 Å
α = 90.00°, β = 108.62°, γ = 90.00°
Last column: nearest neighbours and their distance in Å.
Atoms (fractional coordinates):
Be: 0.6651 0.5000 0.3312  8 Rh 2.40-2.46
Be: 0.3354 0.0000 0.6696  8 Rh 2.45-2.49
Be: 0.0000 0.5000 0.0000  8 Rh 2.43-2.48
Be: 0.6646 0.0000 0.3304  8 Rh 2.45-2.49
Be: 0.3349 0.5000 0.6688  8 Rh 2.40-2.46
Rh: 0.8292 0.7444 0.6579  7 Be 2.41-2.49, 1 Ti 2.52
Rh: 0.8292 0.2556 0.6579  7 Be 2.41-2.49, 1 Ti 2.52
Rh: 0.5000 0.2632 0.0000  6 Be 2.40-2.49, 2 Ti 2.52
Rh: 0.5000 0.7368 0.0000  6 Be 2.40-2.49, 2 Ti 2.52
Rh: 0.1708 0.7444 0.3421  7 Be 2.41-2.49, 1 Ti 2.52
Rh: 0.1708 0.2556 0.3421  7 Be 2.41-2.49, 1 Ti 2.52
Ti: 0.0000 0.0000 0.0000  8 Rh 2.52



4.
TiNb2Si after structural relaxation. Source: Alexandria via LeMat-Bulk, functional PBE.

Properties
ΔE_f (raw)	0.18	eV per atom
uncorrected energy	-8.185	eV/atom
spin magnetization	0.0	Bohr magnetons per cell

a = 7.3505 Å, b = 7.3505 Å, c = 5.8337 Å
α = 50.95°, β = 50.95°, γ = 90.00°
Last column: nearest neighbours and their distance in Å.
Atoms (fractional coordinates):
Nb: 0.5936 0.1250 0.2500  2 Si 2.53, 2 Nb 2.69
Nb: 0.1564 0.6250 0.2500  2 Si 2.53, 2 Nb 2.69
Nb: 0.3750 0.4064 0.7500  2 Si 2.53, 2 Nb 2.69
Nb: 0.8750 0.8436 0.7500  2 Si 2.53, 2 Nb 2.69
Si: 0.5000 0.5000 0.0000  4 Nb 2.53, 2 Ti 2.65
Si: 0.2500 0.7500 0.5000  4 Nb 2.53, 2 Ti 2.65
Ti: 0.0000 0.0000 0.0000  2 Si 2.65, 4 Nb 2.85
Ti: 0.7500 0.2500 0.5000  2 Si 2.65, 4 Nb 2.85



Number 1: calculated volume 124.35 Å³/f.u.. Number 2: calculated volume 118.66 Å³/f.u.. Number 3: calculated volume 138.36 Å³/f.u.. Number 4: calculated volume 71.56 Å³/f.u..